## Ce3H (PBE)

Data for a relaxed structure of Ce3H.

Geometry as CIF:
```
data_Ce3H
_chemical_formula_sum 'Ce3 H1'
_cell_length_a 3.264
_cell_length_b 4.361
_cell_length_c 6.294
_cell_angle_alpha 90.00
_cell_angle_beta 90.00
_cell_angle_gamma 90.00
_space_group_name_H-M_alt 'P 1'
_space_group_IT_number 1
loop_
_space_group_symop_operation_xyz
'x,y,z'
loop_
_atom_site_label
_atom_site_fract_x
_atom_site_fract_y
_atom_site_fract_z
_atom_site_occupancy
Ce1 0.000 0.000 0.000 1
Ce2 0.000 0.500 0.271 1
Ce3 0.500 0.500 0.654 1
H1 0.500 0.000 0.753 1
```

As for the space group: Pmm2, No. 25. The total DFT energy (no corrections) is -5.15 eV per atom. Its energy above the most stable polymorph in this dataset is 289.7 meV/atom.